A geometry-optimized LaCrO3 structure. Source: Alexandria, functional GGA+U.

Total magnetic moment (μB/f.u.): 3.0
Crystal system: trigonal
E_tot (eV/atom): -7.658

Structure (CIF):
```
data_LaCrO3
_chemical_formula_sum 'La3 Cr3 O9'
_symmetry_space_group_name_H-M 'R 3 m'
_symmetry_Int_Tables_number 160
_symmetry_space_group_name_Hall 'R 3 -2"'
_cell_length_a 6.4984
_cell_length_b 6.4984
_cell_length_c 8.9859
_cell_angle_alpha 90.00
_cell_angle_beta 90.00
_cell_angle_gamma 120.00
loop_
_atom_site_label
_atom_site_fract_x
_atom_site_fract_y
_atom_site_fract_z
_atom_site_occupancy
La1 0.0000 0.0000 0.0000 1
Cr1 0.0000 0.0000 0.6725 1
O1 0.0440 0.5220 0.4317 1
```